# 1
Density functional theory data (GGA-PBE) for crystalline PuCuAg at its relaxed geometry.

Cell: 2.994 4.782 4.782 Å, 120.00 90.00 90.00°
Each line ends with the local moment (μB).
Fractional positions:
Cu  0.168  0.333  0.667  0.02
Ag  0.166  0.000  0.000  0.04
Pu  0.667  0.667  0.333  5.52

## Properties
V: 19.76 Å³/atom
energy of formation from the pure elements: 0.041 eV/atom
space-group type: P3m1, No. 156
density of states at the Fermi level: 2.988 states/eV/atom
relative energy among the computed polymorphs: 0.000 eV per atom
E: -0.25916 Ha/atom
magnetic moment: 5.93 μB per formula unit

---

# 2
Density functional theory data (GGA-PBE) for crystalline Er2Al2InPt5 at its relaxed geometry.

Cell: 3.739 9.837 9.837 Å, 90.00 90.00 90.00°
Fractional positions:
Al  0.000  0.879  0.379
Pt  0.500  0.288  0.568
Pt  0.500  0.000  0.500
Er  0.000  0.677  0.177
Er  0.000  0.177  0.323
Pt  0.500  0.788  0.932
Pt  0.500  0.212  0.068
Pt  0.500  0.432  0.288
Pt  0.500  0.068  0.788
Al  0.000  0.121  0.621
Pt  0.500  0.568  0.712
Pt  0.500  0.932  0.212
Al  0.000  0.379  0.121
In  0.000  0.500  0.500
Pt  0.500  0.500  0.000
In  0.000  0.000  0.000
Er  0.000  0.823  0.677
Er  0.000  0.323  0.823
Pt  0.500  0.712  0.432
Al  0.000  0.621  0.879

## Properties
V: 18.09 Å³/atom
energy of formation from the pure elements: -0.971 eV/atom
space-group type: P4/mbm, No. 127
density of states at the Fermi level: 0.347 states/eV/atom
E: -0.21778 Ha/atom
magnetic moment: 0.00 μB per formula unit

---

# 3
Density functional theory data (GGA-PBE) for crystalline NaPdSeBr2 at its relaxed geometry.

Cell: 5.333 5.333 5.411 Å, 90.00 90.00 90.00°
Each line ends with the local moment (μB).
Fractional positions:
Pd  0.500  0.500  0.500  0.72
Se  0.000  0.000  0.500  0.97
Na  0.000  0.000  0.000  0.00
Br  0.500  0.000  0.000  0.30
Br  0.000  0.500  0.000  0.30

## Properties
V: 30.78 Å³/atom
space-group type: P4/mmm, No. 123
density of states at the Fermi level: 1.338 states/eV/atom
relative energy among the computed polymorphs: 0.852 eV per atom
E: -0.08310 Ha/atom
magnetic moment: 3.06 μB per formula unit
E_form (uncorrected): 0.407 eV per atom

---

# 4
Density functional theory data (GGA-PBE) for crystalline Be2VFe5Tc2 at its relaxed geometry.

Cell: 2.840 8.696 8.696 Å, 90.00 90.00 90.00°
Fractional positions:
Be  0.000  0.624  0.876
Fe  0.500  0.500  0.000
Tc  0.000  0.823  0.677
Fe  0.500  0.206  0.063
Be  0.000  0.376  0.124
Fe  0.500  0.563  0.706
Fe  0.500  0.294  0.563
Fe  0.500  0.063  0.794
Fe  0.500  0.937  0.206
Fe  0.500  0.794  0.937
Tc  0.000  0.677  0.177
V  0.000  0.500  0.500
Be  0.000  0.876  0.376
Fe  0.500  0.000  0.500
Be  0.000  0.124  0.624
Tc  0.000  0.177  0.323
V  0.000  0.000  0.000
Tc  0.000  0.323  0.823
Fe  0.500  0.706  0.437
Fe  0.500  0.437  0.294

## Properties
V: 10.74 Å³/atom
energy of formation from the pure elements: -0.031 eV/atom
space-group type: P4/mbm, No. 127
density of states at the Fermi level: 0.814 states/eV/atom
E: -0.29372 Ha/atom
magnetic moment: 0.00 μB per formula unit

---

# 5
Density functional theory data (GGA-PBE) for crystalline Sr3SnO5 at its relaxed geometry.

Cell: 7.000 7.000 7.840 Å, 116.52 116.52 90.00°
Fractional positions:
Sr  0.317  0.817  0.000
O  0.199  0.006  0.704
Sn  0.250  0.750  0.500
Sr  0.683  0.183  0.000
Sr  0.750  0.750  0.500
O  0.301  0.801  0.296
Sn  0.750  0.250  0.500
O  0.006  0.506  0.704
O  0.994  0.494  0.296
Sr  0.250  0.250  0.500
Sr  0.817  0.683  0.000
O  0.506  0.699  0.704
Sr  0.183  0.317  0.000
O  0.699  0.199  0.704
O  0.494  0.301  0.296
O  0.801  0.994  0.296
O  0.000  0.000  0.000
O  0.500  0.500  0.000

## Properties
V: 16.55 Å³/atom
space-group type: I4/mcm, No. 140
E: -0.22304 Ha/atom
magnetic moment: 0.00 μB per formula unit
E_form (uncorrected): -2.309 eV per atom

---

# 6
Density functional theory data (GGA-PBE) for crystalline Pm2Al4SnPd3 at its relaxed geometry.

Cell: 4.326 4.326 10.744 Å, 90.00 90.00 90.00°
Fractional positions:
Al  0.500  0.000  0.652
Pm  0.000  0.500  0.759
Pd  0.000  0.500  0.122
Pm  0.500  0.000  0.241
Al  0.000  0.500  0.348
Pd  0.000  0.000  0.500
Pd  0.500  0.000  0.878
Al  0.000  0.000  0.000
Al  0.500  0.500  0.000
Sn  0.500  0.500  0.500

## Properties
V: 20.10 Å³/atom
energy of formation from the pure elements: -0.763 eV/atom
space-group type: P-4m2, No. 115
density of states at the Fermi level: 0.813 states/eV/atom
E: -0.18993 Ha/atom
magnetic moment: 0.00 μB per formula unit

---

# 7
Density functional theory data (GGA-PBE) for crystalline Nd6Sm8Sc at its relaxed geometry.

Cell: 9.222 9.222 8.773 Å, 58.29 58.29 60.00°
Fractional positions:
Sm  0.422  0.422  0.733
Sm  0.282  0.888  0.584
Sm  0.888  0.247  0.584
Sm  0.247  0.282  0.584
Nd  0.542  0.099  0.125
Nd  0.901  0.765  0.875
Sm  0.112  0.753  0.416
Sm  0.753  0.718  0.416
Sc  0.000  0.000  0.000
Nd  0.765  0.458  0.875
Sm  0.718  0.112  0.416
Nd  0.099  0.235  0.125
Nd  0.235  0.542  0.125
Sm  0.578  0.578  0.267
Nd  0.458  0.901  0.875

## Properties
V: 34.23 Å³/atom
energy of formation from the pure elements: 0.111 eV/atom
space-group type: R-3, No. 148
density of states at the Fermi level: 1.458 states/eV/atom
E: -0.17401 Ha/atom
magnetic moment: 0.00 μB per formula unit

---

# 8
Density functional theory data (GGA-PBE) for crystalline NaTi2H2 at its relaxed geometry.

Cell: 7.522 7.522 2.619 Å, 90.00 90.00 90.00°
Each line ends with the local moment (μB).
Fractional positions:
Na  0.500  0.500  0.000  0.01
H  0.405  0.095  0.500  -0.01
H  0.095  0.595  0.500  -0.01
Ti  0.882  0.618  0.000  0.67
Ti  0.618  0.118  0.000  0.69
Na  0.000  0.000  0.000  0.01
Ti  0.382  0.882  0.000  0.69
Ti  0.118  0.382  0.000  0.67
H  0.595  0.905  0.500  -0.01
H  0.905  0.405  0.500  -0.01

## Properties
V: 14.82 Å³/atom
space-group type: P4/mbm, No. 127
density of states at the Fermi level: 0.824 states/eV/atom
relative energy among the computed polymorphs: 0.504 eV per atom
E: -0.15412 Ha/atom
magnetic moment: 1.72 μB per formula unit

---

# 9
Density functional theory data (GGA-PBE) for crystalline Ba2CdSb at its relaxed geometry.

Cell: 5.755 4.618 5.758 Å, 90.00 90.00 90.00°
Fractional positions:
Cd  0.000  0.625  0.379
Ba  0.000  0.124  0.877
Sb  0.500  0.625  0.870
Ba  0.500  0.125  0.373

## Properties
V: 38.26 Å³/atom
space-group type: Pmm2, No. 25
density of states at the Fermi level: 0.433 states/eV/atom
relative energy among the computed polymorphs: 0.021 eV per atom
E: -0.10687 Ha/atom
magnetic moment: 0.00 μB per formula unit
E_form (uncorrected): -0.687 eV per atom

---

# 10
Density functional theory data (GGA-PBE) for crystalline Pr3Nd6Sm2 at its relaxed geometry.

Cell: 6.391 8.231 15.179 Å, 49.32 60.52 97.22°
Fractional positions:
Nd  0.090  0.636  0.728
Nd  0.727  0.089  0.819
Pr  0.000  0.000  0.000
Nd  0.273  0.911  0.181
Pr  0.546  0.820  0.363
Nd  0.181  0.271  0.455
Pr  0.454  0.180  0.637
Sm  0.364  0.546  0.909
Nd  0.819  0.729  0.545
Sm  0.636  0.454  0.091
Nd  0.910  0.364  0.272

## Properties
V: 35.31 Å³/atom
energy of formation from the pure elements: 0.012 eV/atom
space-group type: P-1, No. 2
density of states at the Fermi level: 1.543 states/eV/atom
relative energy among the computed polymorphs: 0.000 eV per atom
E: -0.17458 Ha/atom
magnetic moment: 0.00 μB per formula unit

---

# 11
Density functional theory data (GGA-PBE) for crystalline MgSiIr2 at its relaxed geometry.

Cell: 8.323 8.323 8.323 Å, 20.12 20.12 20.12°
Fractional positions:
Ir  0.490  0.490  0.490
Mg  0.250  0.250  0.250
Ir  0.010  0.010  0.010
Si  0.750  0.750  0.750

## Properties
V: 14.92 Å³/atom
space-group type: R-3m, No. 166
density of states at the Fermi level: 0.359 states/eV/atom
E: -0.24143 Ha/atom
magnetic moment: 0.00 μB per formula unit
E_form (uncorrected): -0.385 eV per atom

---

# 12
Density functional theory data (GGA-PBE) for crystalline InSiAu at its relaxed geometry.

Cell: 6.608 3.794 6.359 Å, 105.81 59.69 107.43°
Fractional positions:
In  0.216  0.808  0.981
Au  0.767  0.264  0.332
In  0.385  0.614  0.431
Si  0.632  0.429  0.790
Au  0.033  0.962  0.488
Si  0.755  0.063  0.940

## Properties
V: 21.65 Å³/atom
space-group type: P1, No. 1
density of states at the Fermi level: 0.353 states/eV/atom
E: -0.13928 Ha/atom
magnetic moment: 0.00 μB per formula unit
E_form (uncorrected): 0.023 eV per atom

---

# 13
Density functional theory data (GGA-PBE) for crystalline Sm4Tm3PuS8 at its relaxed geometry.

Cell: 7.857 7.901 7.857 Å, 119.82 120.00 90.00°
Each line ends with the local moment (μB).
Fractional positions:
S  0.248  0.738  0.990  -0.02
Pu  0.000  0.500  0.000  5.29
S  0.745  0.734  0.489  0.00
Tm  0.500  0.500  0.500  0.04
Tm  0.000  0.500  0.500  0.04
Tm  0.500  0.500  0.000  0.04
Sm  0.500  0.000  0.500  0.01
S  0.742  0.738  0.990  -0.02
Sm  0.500  0.000  0.000  -0.06
S  0.752  0.262  0.010  -0.02
S  0.248  0.738  0.496  -0.02
S  0.258  0.262  0.010  -0.02
Sm  0.000  0.000  0.500  0.01
Sm  0.000  0.000  0.000  0.01
S  0.752  0.262  0.504  -0.02
S  0.255  0.266  0.511  0.00

## Properties
V: 21.62 Å³/atom
space-group type: R-3m, No. 166
density of states at the Fermi level: 0.767 states/eV/atom
E: -0.25534 Ha/atom
magnetic moment: 5.65 μB per formula unit
E_form (uncorrected): -1.970 eV per atom

---

# 14
Density functional theory data (GGA-PBE) for crystalline SnPb2Au2 at its relaxed geometry.

Cell: 4.365 6.014 6.016 Å, 64.94 68.73 68.72°
Fractional positions:
Pb  0.702  0.798  0.298
Au  0.000  0.217  0.282
Sn  0.500  0.500  0.000
Pb  0.298  0.202  0.702
Au  0.000  0.783  0.718

## Properties
V: 25.83 Å³/atom
energy of formation from the pure elements: -0.074 eV/atom
space-group type: Immm, No. 71
density of states at the Fermi level: 0.487 states/eV/atom
relative energy among the computed polymorphs: 0.008 eV per atom
E: -0.13483 Ha/atom
magnetic moment: 0.00 μB per formula unit

---

# 15
Density functional theory data (GGA-PBE) for crystalline SrCd12Hg16 at its relaxed geometry.

Cell: 10.586 10.586 10.788 Å, 123.08 123.08 92.18°
Fractional positions:
Hg  0.442  0.442  0.317
Hg  0.371  0.781  0.325
Hg  0.962  0.697  0.030
Cd  0.270  0.071  0.444
Hg  0.136  0.136  0.153
Hg  0.564  0.298  0.527
Cd  0.728  0.118  0.666
Hg  0.954  0.374  0.689
Hg  0.639  0.987  0.287
Cd  0.969  0.969  0.410
Cd  0.071  0.270  0.444
Hg  0.013  0.013  0.756
Hg  0.987  0.639  0.287
Hg  0.593  0.329  0.882
Hg  0.298  0.564  0.527
Cd  0.603  0.603  0.863
Cd  0.428  0.098  0.057
Hg  0.697  0.962  0.030
Cd  0.250  0.871  0.072
Cd  0.871  0.250  0.072
Hg  0.781  0.371  0.325
Cd  0.098  0.428  0.057
Cd  0.849  0.659  0.690
Sr  0.660  0.660  0.291
Hg  0.329  0.593  0.882
Hg  0.374  0.954  0.689
Hg  0.285  0.285  0.872
Cd  0.659  0.849  0.690
Cd  0.118  0.728  0.666

## Properties
V: 25.70 Å³/atom
energy of formation from the pure elements: -0.035 eV/atom
space-group type: Cm, No. 8
density of states at the Fermi level: 0.268 states/eV/atom
E: -0.02347 Ha/atom
magnetic moment: 0.00 μB per formula unit

---

# 16
Density functional theory data (GGA-PBE) for crystalline Cu2RhAu at its relaxed geometry.

Cell: 2.804 2.804 7.208 Å, 90.00 90.00 90.00°
Each line ends with the local moment (μB).
Fractional positions:
Rh  0.500  0.500  0.250  0.39
Cu  0.000  0.000  0.488  0.04
Cu  0.000  0.000  0.012  0.04
Au  0.500  0.500  0.750  0.00

## Properties
V: 14.17 Å³/atom
energy of formation from the pure elements: 0.043 eV/atom
space-group type: P4/mmm, No. 123
density of states at the Fermi level: 0.993 states/eV/atom
E: -0.17134 Ha/atom
magnetic moment: 0.46 μB per formula unit

---

# 17
Density functional theory data (GGA-PBE) for crystalline La6Pr2Pu at its relaxed geometry.

Cell: 6.769 11.396 11.396 Å, 49.76 72.72 72.72°
Each line ends with the local moment (μB).
Fractional positions:
La  0.415  0.335  0.335  -0.02
La  0.585  0.665  0.665  -0.02
La  0.634  0.704  0.028  0.05
Pr  0.198  0.624  0.979  -0.02
La  0.134  0.028  0.704  0.05
La  0.029  0.663  0.280  0.04
La  0.915  0.335  0.335  -0.02
La  0.366  0.296  0.972  0.05
La  0.866  0.972  0.296  0.05
Pr  0.802  0.376  0.021  -0.02
Pr  0.302  0.021  0.376  -0.02
Pu  0.750  0.000  0.000  5.57
La  0.471  0.720  0.337  0.04
La  0.085  0.665  0.665  -0.02
Pu  0.250  0.000  0.000  5.57
Pr  0.698  0.979  0.624  -0.02
La  0.971  0.337  0.720  0.04
La  0.529  0.280  0.663  0.04

## Properties
V: 35.22 Å³/atom
energy of formation from the pure elements: 0.090 eV/atom
space-group type: Ibam, No. 72
density of states at the Fermi level: 1.848 states/eV/atom
E: -0.21496 Ha/atom
magnetic moment: 6.12 μB per formula unit

---

# 18
Density functional theory data (GGA-PBE) for crystalline RbSmGa2Br6 at its relaxed geometry.

Cell: 7.924 7.923 8.457 Å, 62.04 62.03 59.96°
Fractional positions:
Sm  0.324  0.324  0.027
Ga  0.516  0.516  0.453
Br  0.157  0.369  0.762
Rb  0.811  0.811  0.568
Br  0.713  0.156  0.762
Br  0.953  0.571  0.235
Ga  0.008  0.008  0.977
Br  0.570  0.241  0.235
Br  0.369  0.712  0.762
Br  0.241  0.953  0.235

## Properties
V: 38.64 Å³/atom
space-group type: R3, No. 146
density of states at the Fermi level: 0.000 states/eV/atom
E: -0.12878 Ha/atom
magnetic moment: 0.00 μB per formula unit
E_form (uncorrected): -1.327 eV per atom

---

# 19
Density functional theory data (GGA-PBE) for crystalline TaMn2Zn at its relaxed geometry.

Cell: 6.826 6.826 5.511 Å, 51.73 51.73 90.00°
Each line ends with the local moment (μB).
Fractional positions:
Mn  0.619  0.125  0.250  2.54
Ta  0.000  0.000  0.000  -0.67
Mn  0.131  0.625  0.250  2.50
Mn  0.375  0.381  0.750  2.54
Zn  0.250  0.750  0.500  -0.05
Mn  0.875  0.869  0.750  2.50
Zn  0.500  0.500  0.000  -0.05
Ta  0.750  0.250  0.500  -0.67

## Properties
V: 15.48 Å³/atom
energy of formation from the pure elements: 0.571 eV/atom
space-group type: I-42d, No. 122
density of states at the Fermi level: 0.861 states/eV/atom
E: -0.26812 Ha/atom
magnetic moment: 4.22 μB per formula unit

---

# 20
Density functional theory data (GGA-PBE) for crystalline Dy2Ho5Pu at its relaxed geometry.

Cell: 6.713 6.713 15.464 Å, 57.65 57.65 77.53°
Each line ends with the local moment (μB).
Fractional positions:
Dy  0.500  0.000  0.000  0.16
Ho  0.959  0.423  0.764  0.16
Pu  0.952  0.048  0.250  5.66
Ho  0.443  0.557  0.750  0.01
Dy  0.500  0.500  0.500  0.06
Ho  0.962  0.228  0.021  0.20
Dy  0.500  0.500  0.000  0.06
Pu  0.048  0.952  0.750  5.66
Ho  0.228  0.962  0.521  0.20
Ho  0.038  0.772  0.979  0.20
Ho  0.041  0.577  0.236  0.16
Dy  0.000  0.500  0.500  0.16
Ho  0.557  0.443  0.250  0.01
Ho  0.772  0.038  0.479  0.20
Ho  0.577  0.041  0.736  0.16
Ho  0.423  0.959  0.264  0.16

## Properties
V: 30.93 Å³/atom
energy of formation from the pure elements: 0.190 eV/atom
space-group type: C2/c, No. 15
density of states at the Fermi level: 2.062 states/eV/atom
E: -0.20629 Ha/atom
magnetic moment: 7.14 μB per formula unit

---

# 21
Density functional theory data (GGA-PBE) for crystalline CuP2SCl at its relaxed geometry.

Cell: 4.609 4.609 4.404 Å, 90.00 90.00 90.00°
Each line ends with the local moment (μB).
Fractional positions:
S  0.500  0.500  0.500  -0.04
P  0.500  0.000  0.000  0.06
Cu  0.000  0.000  0.000  0.01
P  0.000  0.500  0.000  0.06
Cl  0.000  0.000  0.500  0.01

## Properties
V: 18.71 Å³/atom
space-group type: P4/mmm, No. 123
density of states at the Fermi level: 0.512 states/eV/atom
relative energy among the computed polymorphs: 0.000 eV per atom
E: -0.12251 Ha/atom
magnetic moment: 0.21 μB per formula unit
E_form (uncorrected): 0.844 eV per atom